[1]
4
Lattice="4.185 0.021 -0.001 2.076 3.634 -0.001 2.086 1.218 5.844" Properties=species:S:1:pos:R:3 comment="SrFe2Te | Alexandria | GGA-PBE | optimized geometry" total_magnetization_mub_per_fu=3.47 formation_energy_uncorrected_ev_per_atom=-0.117 pbc="T T T"
Fe 2.086 1.218 5.456
Fe 6.261 3.654 5.343
Sr 4.173 2.436 3.120
Te 2.088 1.218 0.688

***

[2]
4
Lattice="3.953 0.015 0.000 -1.388 3.701 0.000 0.000 0.000 7.875" Properties=species:S:1:pos:R:3 comment="SrFeTe2 | Alexandria | GGA-PBE | optimized geometry" total_magnetization_mub_per_fu=3.42 formation_energy_uncorrected_ev_per_atom=-0.277 pbc="T T T"
Fe 1.282 1.858 1.969
Sr 1.282 1.858 5.906
Te 0.000 0.000 0.285
Te 0.000 0.000 3.652

***

[3]
4
Lattice="6.639 0.168 0.000 3.579 5.594 0.000 -5.109 -2.881 3.114" Properties=species:S:1:pos:R:3 comment="SrFeTe2 | Alexandria | GGA-PBE | optimized geometry" total_magnetization_mub_per_fu=3.73 formation_energy_uncorrected_ev_per_atom=-0.151 pbc="T T T"
Fe 5.109 2.881 0.000
Sr 3.319 0.084 1.557
Te 0.000 0.000 0.000
Te 1.790 2.797 1.557

***

[4]
4
Lattice="3.764 0.000 0.000 0.000 3.741 -0.445 0.000 0.785 6.601" Properties=species:S:1:pos:R:3 comment="SrFe2Te | Alexandria | GGA-PBE | optimized geometry" total_magnetization_mub_per_fu=5.95 formation_energy_uncorrected_ev_per_atom=0.098 pbc="T T T"
Fe 3.764 3.345 0.221
Fe 1.882 1.475 0.442
Sr 0.000 1.805 3.206
Te 1.882 3.904 4.919

***

[5]
5
Lattice="5.203 0.000 0.000 0.000 5.203 0.000 0.000 0.000 5.203" Properties=species:S:1:pos:R:3 comment="SrFeTe3 | Alexandria | GGA-PBE | optimized geometry" de_polymorph_mev_per_atom=0 total_magnetization_mub_per_fu=0.00 formation_energy_uncorrected_ev_per_atom=-0.260 pbc="T T T"
Sr 2.602 2.602 2.602
Te 0.000 2.602 0.000
Te 0.000 0.000 2.602
Te 2.602 0.000 0.000
Fe 0.000 0.000 0.000

***

[6]
4
Lattice="-1.040 3.218 4.160 -4.537 -0.609 2.792 0.167 -1.938 4.996" Properties=species:S:1:pos:R:3 comment="SrFeTe2 | Alexandria | GGA-PBE | optimized geometry" total_magnetization_mub_per_fu=3.39 formation_energy_uncorrected_ev_per_atom=-0.238 pbc="T T T"
Sr -2.705 0.335 5.974
Te -1.353 0.168 2.987
Te -4.058 0.503 8.961
Fe 0.000 0.000 0.000

***

[7]
4
Lattice="-7.672 -0.676 3.464 4.725 -1.012 2.160 -0.846 2.377 2.963" Properties=species:S:1:pos:R:3 comment="SrFeTe2 | Alexandria | GGA-PBE | optimized geometry" total_magnetization_mub_per_fu=3.14 formation_energy_uncorrected_ev_per_atom=-0.235 pbc="T T T"
Fe 1.940 0.682 2.561
Sr -1.474 -0.844 2.812
Te 0.000 0.000 0.000
Te -4.259 0.850 3.214

***

[8]
4
Lattice="-2.108 -2.395 -3.393 1.891 -3.941 1.607 -5.266 -0.926 3.925" Properties=species:S:1:pos:R:3 comment="Sr2FeTe | Alexandria | GGA-PBE | optimized geometry" total_magnetization_mub_per_fu=2.24 formation_energy_uncorrected_ev_per_atom=-0.185 pbc="T T T"
Fe -4.665 -3.969 2.504
Sr -4.670 -0.821 3.481
Sr -2.000 -3.501 0.517
Te -2.047 -0.360 1.525

***

[9]
4
Lattice="4.029 0.000 0.000 0.000 4.029 0.000 0.000 0.000 7.694" Properties=species:S:1:pos:R:3 comment="Sr2FeTe | Alexandria | GGA-PBE | optimized geometry" total_magnetization_mub_per_fu=2.58 formation_energy_uncorrected_ev_per_atom=-0.289 pbc="T T T"
Fe 2.015 2.015 5.771
Sr 0.000 0.000 7.690
Sr 0.000 0.000 3.851
Te 2.015 2.015 1.924

***

[10]
5
Lattice="6.059 0.000 0.000 0.000 6.059 0.000 0.000 0.000 6.059" Properties=species:S:1:pos:R:3 comment="SrFeTe3 | Alexandria | GGA-PBE | optimized geometry" de_polymorph_mev_per_atom=1104 total_magnetization_mub_per_fu=3.18 formation_energy_uncorrected_ev_per_atom=0.844 pbc="T T T"
Sr 0.000 0.000 0.000
Te 0.000 3.030 0.000
Te 0.000 0.000 3.030
Te 3.030 0.000 0.000
Fe 3.030 3.030 3.030

***

[11]
8
Lattice="-2.235 7.387 1.042 -3.818 -2.067 6.465 0.014 3.298 5.753" Properties=species:S:1:pos:R:3 comment="SrFeTe2 | Alexandria | GGA-PBE | optimized geometry" total_magnetization_mub_per_fu=0.00 formation_energy_uncorrected_ev_per_atom=-0.527 pbc="T T T"
Sr 0.000 0.000 0.000
Sr -2.623 6.673 5.274
Te -1.656 4.473 2.797
Te -2.877 1.166 5.709
Te -2.626 4.270 7.751
Te -4.919 7.327 10.262
Fe -3.026 2.660 3.754
Fe -3.415 1.946 7.986

***

[12]
4
Lattice="3.928 0.000 0.000 1.964 3.401 0.000 1.964 1.134 10.690" Properties=species:S:1:pos:R:3 comment="SrTh2Fe | Alexandria | GGA-PBE | optimized geometry" e_tot_ev_per_atom=-6.10 total_magnetization_mub_per_fu=0.00 pbc="T T T"
Sr 0.000 0.000 0.000
Fe 3.928 2.268 5.345
Th 1.964 1.134 6.794
Th 5.891 3.401 3.896